A plane-wave DFT calculation with PBE was carried out for an optimized crystal structure of NaMn2As2.

a = 7.485 Å, b = 7.485 Å, c = 3.030 Å
α = 90.00°, β = 90.00°, γ = 90.00°
Space group P4/mbm (No. 127)
Symmetry-distinct sites (fractional):
Na (0.000, 0.000, 0.000) (multiplicity 2)
Mn (0.123, 0.377, 0.000) (multiplicity 4)
As (0.164, 0.664, 0.500) (multiplicity 4)

Properties
The total moment is 13.00 μB/cell. The calculation puts the formation energy at -0.063 eV per atom.

***

A plane-wave DFT calculation with PBE was carried out for an optimized crystal structure of K4BaHg3F12.

a = 9.256 Å, b = 9.256 Å, c = 9.256 Å
α = 90.00°, β = 90.00°, γ = 90.00°
Space group Im-3 (No. 204)
Symmetry-distinct sites (fractional):
K (0.250, 0.250, 0.250) (multiplicity 8)
Ba (0.000, 0.000, 0.000) (multiplicity 2)
Hg (0.000, 0.000, 0.500) (multiplicity 6)
F (0.000, 0.145, 0.306) (multiplicity 24)

Properties
The formation energy (no corrections) is -2250 meV/atom. The total moment is 0.00 μB/cell.

***

A plane-wave DFT calculation with PBE was carried out for an optimized crystal structure of Fe2PtI6.

a = 15.273 Å, b = 13.047 Å, c = 7.153 Å
α = 90.00°, β = 106.01°, γ = 90.00°
Space group C2/c (No. 15)
Symmetry-distinct sites (fractional):
Fe (0.047, 0.089, 0.141) (multiplicity 8)
Pt (0.000, 0.423, 0.250) (multiplicity 4)
I (0.106, 0.271, 0.126) (multiplicity 8)
I (0.107, 0.431, 0.616) (multiplicity 8)
I (0.129, 0.071, 0.543) (multiplicity 8)

Properties
The formation energy (no corrections) is -50 meV/atom. The total moment is 23.74 μB/cell.

***

A plane-wave DFT calculation with PBE was carried out for an optimized crystal structure of BaHfPtSe2.

a = 5.492 Å, b = 5.492 Å, c = 7.167 Å
α = 90.00°, β = 90.00°, γ = 90.00°
Space group P4/mmm (No. 123)
Symmetry-distinct sites (fractional):
Ba (0.000, 0.000, 0.000) (multiplicity 1)
Hf (0.000, 0.000, 0.500) (multiplicity 1)
Pt (0.500, 0.500, 0.500) (multiplicity 1)
Se (0.000, 0.500, 0.000) (multiplicity 2)

Properties
The formation energy (no corrections) is 1654 meV/atom. The total moment is 1.15 μB/cell.

***

What did the first record say?
A plane-wave DFT calculation with PBE was carried out for an optimized crystal structure of NaMn2As2.

a = 7.485 Å, b = 7.485 Å, c = 3.030 Å
α = 90.00°, β = 90.00°, γ = 90.00°
Space group P4/mbm (No. 127)
Symmetry-distinct sites (fractional):
Na (0.000, 0.000, 0.000) (multiplicity 2)
Mn (0.123, 0.377, 0.000) (multiplicity 4)
As (0.164, 0.664, 0.500) (multiplicity 4)

Properties
The total moment is 13.00 μB/cell. The calculation puts the formation energy at -0.063 eV per atom.